A geometry-optimized Ac2MnWO6 structure, computed with PBE+U.

Summary:
E   -158.8 eV/cell
Magnetic moment   0.70 μB per atom

Cell: 5.819 5.939 10.201 Å, 90.00 124.75 90.00°
Space group P2_1/c (No. 14)
Symmetry-distinct sites (fractional):
Ac1 0.243 0.049 0.251 [4 per cell]
Mn1 0.500 0.000 0.000 [2 per cell]
W1 0.000 0.000 0.500 [2 per cell]
O1 0.144 0.214 0.951 [4 per cell]
O2 0.246 0.695 0.957 [4 per cell]
O3 0.336 0.028 0.747 [4 per cell]